Entry 1:
The following is a DFT calculation (PBE-GGA) of an optimized crystal structure of La3PrEr2Se6. Values from VASP.

Geometry as Quantum ESPRESSO input:
```
&SYSTEM
  ibrav = 0, nat = 12, ntyp = 4
/
ATOMIC_SPECIES
La 138.91 La.upf
Pr 140.91 Pr.upf
Er 167.26 Er.upf
Se 78.96 Se.upf
ATOMIC_POSITIONS crystal
La 0.1606 0.8394 0.5000
La 0.8394 0.1606 0.5000
La 0.5000 0.5000 0.5000
Pr 0.0000 0.0000 0.0000
Er 0.3332 0.6668 0.0000
Er 0.6668 0.3332 0.0000
Se 0.9215 0.5754 0.7642
Se 0.7305 0.7305 0.2300
Se 0.0785 0.4246 0.2358
Se 0.5754 0.9215 0.7642
Se 0.2695 0.2695 0.7700
Se 0.4246 0.0785 0.2358
CELL_PARAMETERS angstrom
7.2806 -0.0108 -0.0025
-3.6478 6.3008 -0.0025
-1.2142 -2.1024 6.9246
```

Formation energy without anion corrections ... -1.88 eV/atom
Magnetic moment ... 0.00 μB per formula unit
Density of states at the Fermi level ... 6.3 states/eV per cell

=====

Entry 2:
The following is a DFT calculation (PBE-GGA) of an optimized crystal structure of Rb3La3ErTe8. Values from VASP.

Geometry as Quantum ESPRESSO input:
```
&SYSTEM
  ibrav = 0, nat = 15, ntyp = 4
/
ATOMIC_SPECIES
Rb 85.47 Rb.upf
La 138.91 La.upf
Er 167.26 Er.upf
Te 127.60 Te.upf
ATOMIC_POSITIONS crystal
Rb 0.0000 0.0000 0.0000
Rb 0.0000 0.5000 0.0000
Rb 0.5000 0.5000 0.0000
La 0.5000 0.0000 0.5000
La 0.5000 0.5000 0.5000
La 0.0000 0.5000 0.5000
Er 0.0000 0.0000 0.5000
Te 0.2639 0.5278 0.2918
Te 0.7361 0.4722 0.7082
Te 0.7738 0.5476 0.3015
Te 0.2262 0.4524 0.6985
Te 0.7738 0.0276 0.3014
Te 0.2262 0.9724 0.6986
Te 0.2538 0.0276 0.3014
Te 0.7462 0.9724 0.6986
CELL_PARAMETERS angstrom
-1.0395 -8.1960 -4.1675
5.4631 0.7453 7.4430
-10.1221 0.4660 1.6086
```

Formation energy without anion corrections ... -1.37 eV/atom
Magnetic moment ... 0.00 μB per formula unit
Density of states at the Fermi level ... 12.6 states/eV per cell

=====

Entry 3:
The following is a DFT calculation (PBE-GGA) of an optimized crystal structure of SrSc2Fe. Values from VASP.

Geometry as Quantum ESPRESSO input:
```
&SYSTEM
  ibrav = 0, nat = 4, ntyp = 3
/
ATOMIC_SPECIES
Fe 55.84 Fe.upf
Sc 44.96 Sc.upf
Sr 87.62 Sr.upf
ATOMIC_POSITIONS crystal
Fe 0.7500 0.7500 0.7500
Sc 0.0365 0.0365 0.8914
Sc 0.4635 0.4635 0.6086
Sr 0.2500 0.2500 0.2500
CELL_PARAMETERS angstrom
-1.7768 3.2610 1.0353
-1.6741 2.2171 -2.6730
-8.3648 -2.4391 0.4548
```

Energy of formation ... 22.46 kJ per mole of atoms
Magnetic moment ... 0.00 μB per formula unit
Density of states at the Fermi level ... 3.9 states/eV per cell

=====

Entry 4:
The following is a DFT calculation (PBE-GGA) of an optimized crystal structure of PaInPb2S6. Values from VASP.

Geometry as Quantum ESPRESSO input:
```
&SYSTEM
  ibrav = 0, nat = 10, ntyp = 4
/
ATOMIC_SPECIES
Pa 231.04 Pa.upf
In 114.82 In.upf
Pb 207.20 Pb.upf
S 32.06 S.upf
ATOMIC_POSITIONS crystal
Pa 0.6599 0.5000 0.5000
In 0.5836 0.0000 0.0000
Pb 0.0046 0.5000 0.0000
Pb 0.0046 0.0000 0.5000
S 0.7165 0.2465 0.2465
S 0.7165 0.2465 0.7535
S 0.1804 0.5000 0.5000
S 0.1475 0.0000 0.0000
S 0.7165 0.7535 0.7535
S 0.7165 0.7535 0.2465
CELL_PARAMETERS angstrom
5.4463 0.0000 0.0000
0.0000 7.1817 0.0000
0.0000 0.0000 7.1817
```

Formation energy without anion corrections ... -0.73 eV/atom
Magnetic moment ... 0.00 μB per formula unit

=====

The following density values (in g cm⁻³) correspond, in order, to the records above: 7.1; 4.8; 3.6; 5.6.
The following uncorrected energy values (in eV/atom) correspond, in order, to the records above: -6.01; -4.53; -5.47; -5.17.